Material: NaVO3
Method: DFT, PBE with a Hubbard U
State: relaxed

Properties
As for the total energy: -6.64 eV/atom. The volume is 16.2 A^3/atom. The space group is P2_1/c.

a = 7.224 Å, b = 5.372 Å, c = 8.355 Å
α = 90.00°, β = 92.95°, γ = 90.00°
Atoms (fractional coordinates):
O 0.655 0.592 0.725
O 0.962 0.337 0.331
O 0.274 0.624 0.962
O 0.038 0.663 0.669
O 0.774 0.876 0.462
O 0.226 0.124 0.538
O 0.726 0.376 0.038
O 0.538 0.837 0.169
O 0.845 0.092 0.775
O 0.155 0.908 0.225
O 0.345 0.408 0.275
O 0.462 0.163 0.831
V 0.832 0.804 0.654
V 0.668 0.304 0.846
V 0.332 0.696 0.154
V 0.168 0.196 0.346
Na 0.648 0.203 0.293
Na 0.148 0.297 0.793
Na 0.352 0.797 0.707
Na 0.852 0.703 0.207

=====

Material: NaV3O8
Method: DFT, PBE with a Hubbard U
State: relaxed

Properties
As for the total energy: -7.16 eV/atom. The volume is 13.2 A^3/atom. The space group is P2_1/m.

a = 3.645 Å, b = 7.432 Å, c = 12.294 Å
α = 72.66°, β = 90.00°, γ = 90.00°
Atoms (fractional coordinates):
O 0.250 0.302 0.956
O 0.250 0.600 0.459
O 0.250 0.156 0.678
O 0.750 0.698 0.044
O 0.750 0.844 0.322
O 0.750 0.806 0.547
O 0.250 0.961 0.927
O 0.750 0.183 0.829
O 0.250 0.200 0.188
O 0.750 0.039 0.073
O 0.250 0.483 0.731
O 0.750 0.800 0.812
O 0.750 0.517 0.269
O 0.250 0.817 0.171
O 0.750 0.400 0.541
O 0.250 0.194 0.453
V 0.750 0.736 0.188
V 0.250 0.264 0.812
V 0.250 0.106 0.082
V 0.750 0.894 0.918
V 0.750 0.680 0.457
V 0.250 0.320 0.543
Na 0.250 0.823 0.678
Na 0.750 0.177 0.322

=====

Material: Na3VO3
Method: DFT, PBE with a Hubbard U
State: relaxed

Properties
The volume is 14.8 A^3/atom. Its energy above the lowest structure with this stoichiometry is 8.6 meV/atom. The space group is C2/c.

a = 6.157 Å, b = 8.775 Å, c = 8.775 Å
α = 103.24°, β = 69.85°, γ = 110.15°
Atoms (fractional coordinates):
Na 0.750 0.720 0.720
Na 0.450 0.826 0.005
Na 0.950 0.995 0.174
Na 0.579 0.636 0.231
Na 0.250 0.557 0.557
Na 0.250 0.280 0.280
Na 0.921 0.231 0.636
Na 0.050 0.005 0.826
Na 0.421 0.364 0.769
Na 0.079 0.769 0.364
Na 0.750 0.443 0.443
Na 0.550 0.174 0.995
V 0.909 0.576 0.913
V 0.091 0.424 0.087
V 0.409 0.087 0.424
V 0.591 0.913 0.576
O 0.771 0.432 0.092
O 0.819 0.773 0.990
O 0.162 0.518 0.289
O 0.729 0.092 0.432
O 0.271 0.908 0.568
O 0.338 0.289 0.518
O 0.838 0.482 0.711
O 0.681 0.990 0.773
O 0.181 0.227 0.010
O 0.662 0.711 0.482
O 0.229 0.568 0.908
O 0.319 0.010 0.227

=====

Material: Na3V5O10
Method: DFT, PBE with a Hubbard U
State: relaxed

Properties
As for the total energy: -7.04 eV/atom. The volume is 12.2 A^3/atom. The space group is P-1.

a = 7.277 Å, b = 8.335 Å, c = 8.088 Å
α = 68.76°, β = 104.89°, γ = 88.16°
Atoms (fractional coordinates):
V 0.899 0.095 0.302
V 0.390 0.595 0.801
V 0.700 0.300 0.900
V 0.598 0.405 0.197
V 0.802 0.195 0.603
V 0.501 0.505 0.498
V 0.298 0.696 0.101
V 0.102 0.904 0.699
V 0.200 0.800 0.400
V 0.010 0.005 0.999
O 0.153 0.040 0.240
O 0.567 0.247 0.675
O 0.551 0.641 0.035
O 0.471 0.345 0.982
O 0.757 0.062 0.063
O 0.034 0.155 0.520
O 0.643 0.538 0.737
O 0.366 0.445 0.280
O 0.431 0.750 0.325
O 0.929 0.255 0.818
O 0.748 0.438 0.433
O 0.833 0.353 0.125
O 0.969 0.850 0.475
O 0.057 0.753 0.173
O 0.652 0.162 0.367
O 0.247 0.560 0.560
O 0.343 0.847 0.627
O 0.849 0.959 0.765
O 0.243 0.950 0.928
O 0.157 0.650 0.872
Na 0.853 0.652 0.945
Na 0.353 0.148 0.450
Na 0.047 0.452 0.350
Na 0.949 0.552 0.646
Na 0.547 0.948 0.855
Na 0.451 0.048 0.154

=====

Material: Na3V5O12
Method: DFT, PBE with a Hubbard U
State: relaxed

Properties
As for the total energy: -7.01 eV/atom. The volume is 12.4 A^3/atom. The space group is Ia-3d.

a = 10.891 Å, b = 10.891 Å, c = 10.891 Å
α = 109.47°, β = 109.47°, γ = 109.47°
Atoms (fractional coordinates):
O 0.306 0.417 0.812
O 0.417 0.111 0.605
O 0.995 0.605 0.188
O 0.917 0.105 0.611
O 0.917 0.812 0.806
O 0.111 0.417 0.105
O 0.188 0.083 0.694
O 0.005 0.395 0.812
O 0.194 0.688 0.083
O 0.605 0.611 0.417
O 0.605 0.995 0.688
O 0.688 0.495 0.605
O 0.105 0.188 0.495
O 0.395 0.005 0.312
O 0.495 0.688 0.105
O 0.611 0.605 0.917
O 0.417 0.306 0.312
O 0.895 0.083 0.889
O 0.188 0.105 0.995
O 0.995 0.389 0.306
O 0.495 0.806 0.889
O 0.688 0.194 0.583
O 0.806 0.495 0.389
O 0.111 0.694 0.505
O 0.611 0.005 0.194
O 0.312 0.806 0.417
O 0.812 0.895 0.005
O 0.895 0.812 0.505
O 0.395 0.389 0.583
O 0.083 0.895 0.389
O 0.083 0.188 0.194
O 0.694 0.111 0.005
O 0.505 0.194 0.111
O 0.312 0.505 0.395
O 0.812 0.917 0.306
O 0.889 0.306 0.495
O 0.505 0.312 0.895
O 0.105 0.917 0.111
O 0.806 0.312 0.917
O 0.005 0.611 0.694
O 0.389 0.395 0.083
O 0.583 0.694 0.688
O 0.306 0.889 0.995
O 0.194 0.505 0.611
O 0.694 0.583 0.188
O 0.889 0.583 0.895
O 0.583 0.889 0.395
O 0.389 0.995 0.806
V 0.000 0.000 0.000
V 0.375 0.125 0.750
V 0.125 0.750 0.375
V 0.375 0.250 0.125
V 0.125 0.375 0.250
V 0.500 0.000 0.500
V 0.875 0.250 0.625
V 0.625 0.875 0.250
V 0.250 0.375 0.625
V 0.250 0.875 0.125
V 0.500 0.500 0.000
V 0.750 0.625 0.375
V 0.500 0.000 0.000
V 0.000 0.500 0.500
V 0.875 0.625 0.750
V 0.000 0.000 0.500
V 0.750 0.125 0.875
V 0.000 0.500 0.000
V 0.625 0.750 0.875
V 0.500 0.500 0.500
Na 0.875 0.125 0.250
Na 0.750 0.875 0.625
Na 0.750 0.375 0.125
Na 0.625 0.250 0.375
Na 0.625 0.375 0.750
Na 0.375 0.750 0.625
Na 0.375 0.625 0.250
Na 0.125 0.250 0.875
Na 0.875 0.750 0.125
Na 0.125 0.875 0.750
Na 0.250 0.625 0.875
Na 0.250 0.125 0.375

=====

Material: Na5VO5
Method: DFT, PBE with a Hubbard U
State: relaxed

Properties
The volume is 14.5 A^3/atom. Its energy above the lowest structure with this stoichiometry is 0.0 meV/atom. The space group is Pbcm.

a = 5.865 Å, b = 6.661 Å, c = 16.297 Å
α = 90.00°, β = 90.00°, γ = 90.00°
Atoms (fractional coordinates):
O 0.652 0.250 0.827
O 0.167 0.962 0.846
O 0.034 0.750 0.988
O 0.167 0.462 0.654
O 0.506 0.250 0.556
O 0.034 0.250 0.512
O 0.966 0.250 0.012
O 0.167 0.038 0.654
O 0.167 0.538 0.846
O 0.348 0.750 0.173
O 0.652 0.750 0.673
O 0.506 0.750 0.944
O 0.348 0.250 0.327
O 0.833 0.462 0.154
O 0.833 0.038 0.154
O 0.966 0.750 0.488
O 0.494 0.750 0.444
O 0.833 0.962 0.346
O 0.494 0.250 0.056
O 0.833 0.538 0.346
Na 0.207 0.014 0.417
Na 0.661 0.250 0.415
Na 0.003 0.250 0.769
Na 0.661 0.750 0.085
Na 0.793 0.014 0.917
Na 0.491 0.500 0.750
Na 0.207 0.986 0.083
Na 0.509 0.500 0.250
Na 0.339 0.250 0.915
Na 0.793 0.486 0.917
Na 0.793 0.986 0.583
Na 0.793 0.514 0.583
Na 0.339 0.750 0.585
Na 0.491 0.000 0.750
Na 0.509 0.000 0.250
Na 0.997 0.250 0.269
Na 0.207 0.514 0.083
Na 0.997 0.750 0.231
Na 0.207 0.486 0.417
Na 0.003 0.750 0.731
V 0.226 0.250 0.593
V 0.226 0.750 0.907
V 0.774 0.750 0.407
V 0.774 0.250 0.093

=====

Material: Na3VO3
Method: DFT, PBE with a Hubbard U
State: relaxed

Properties
The volume is 14.5 A^3/atom. Its energy above the lowest structure with this stoichiometry is 3.0 meV/atom. The space group is P2_1/c.

a = 12.747 Å, b = 5.939 Å, c = 6.325 Å
α = 57.83°, β = 90.00°, γ = 90.00°
Atoms (fractional coordinates):
O 0.563 0.818 0.801
O 0.628 0.446 0.551
O 0.775 0.027 0.560
O 0.275 0.973 0.940
O 0.725 0.027 0.060
O 0.437 0.182 0.199
O 0.128 0.554 0.949
O 0.225 0.973 0.440
O 0.063 0.182 0.699
O 0.372 0.554 0.449
O 0.872 0.446 0.051
O 0.937 0.818 0.301
Na 0.983 0.533 0.719
Na 0.592 0.922 0.363
Na 0.779 0.556 0.306
Na 0.517 0.533 0.219
Na 0.017 0.467 0.281
Na 0.221 0.444 0.694
Na 0.092 0.078 0.137
Na 0.908 0.922 0.863
Na 0.408 0.078 0.637
Na 0.721 0.556 0.806
Na 0.483 0.467 0.781
Na 0.279 0.444 0.194
V 0.835 0.080 0.253
V 0.165 0.920 0.747
V 0.665 0.080 0.753
V 0.335 0.920 0.247

=====

Material: NaV2O3
Method: DFT, PBE with a Hubbard U
State: relaxed

Properties
As for the total energy: -6.89 eV/atom. The volume is 11.0 A^3/atom. The space group is P2_1/m.

a = 2.996 Å, b = 5.501 Å, c = 8.181 Å
α = 101.74°, β = 90.00°, γ = 90.00°
Atoms (fractional coordinates):
V 0.750 0.254 0.508
V 0.750 0.013 0.834
V 0.250 0.746 0.492
V 0.250 0.987 0.166
Na 0.750 0.475 0.161
Na 0.250 0.525 0.839
O 0.750 0.892 0.350
O 0.750 0.797 0.010
O 0.250 0.203 0.990
O 0.250 0.108 0.650
O 0.250 0.357 0.361
O 0.750 0.643 0.639

=====

Material: NaV3O8
Method: DFT, PBE with a Hubbard U
State: relaxed

Properties
As for the total energy: -7.04 eV/atom. The volume is 14.5 A^3/atom. The space group is P1.

a = 3.263 Å, b = 7.314 Å, c = 7.957 Å
α = 109.35°, β = 89.95°, γ = 102.90°
Atoms (fractional coordinates):
Na 0.318 0.639 0.720
O 0.217 0.434 0.246
O 0.737 0.476 0.516
O 0.598 0.197 0.019
O 0.380 0.758 0.032
O 0.553 0.104 0.319
O 0.891 0.782 0.320
O 0.146 0.293 0.767
O 0.473 0.946 0.680
V 0.421 0.840 0.250
V 0.593 0.186 0.803
V 0.675 0.351 0.297

=====

Material: NaVO3
Method: DFT, PBE with a Hubbard U
State: relaxed

Properties
As for the total energy: -6.69 eV/atom. The volume is 17.1 A^3/atom. The space group is P2_1/m.

a = 5.254 Å, b = 6.342 Å, c = 11.476 Å
α = 116.77°, β = 90.00°, γ = 90.00°
Atoms (fractional coordinates):
O 0.500 0.001 0.394
O 0.000 0.001 0.894
O 0.000 0.001 0.394
O 0.500 0.001 0.894
O 0.250 0.395 0.600
O 0.750 0.605 0.400
O 0.500 0.999 0.106
O 0.250 0.395 0.100
O 0.750 0.605 0.900
O 0.500 0.999 0.606
O 0.000 0.999 0.106
O 0.000 0.999 0.606
V 0.250 0.104 0.026
V 0.750 0.896 0.974
V 0.750 0.896 0.474
V 0.250 0.104 0.526
Na 0.750 0.203 0.300
Na 0.250 0.797 0.200
Na 0.750 0.203 0.800
Na 0.250 0.797 0.700

=====

Material: NaV5O8
Method: DFT, PBE with a Hubbard U
State: relaxed

Properties
The volume is 12.0 A^3/atom. Its energy above the lowest structure with this stoichiometry is 11.1 meV/atom. The space group is P1.

a = 3.099 Å, b = 12.169 Å, c = 9.151 Å
α = 92.86°, β = 80.26°, γ = 97.33°
Atoms (fractional coordinates):
O 0.612 0.181 0.839
O 0.313 0.815 0.165
O 0.551 0.920 0.764
O 0.893 0.730 0.896
O 0.869 0.231 0.397
O 0.660 0.682 0.337
O 0.691 0.908 0.447
O 0.377 0.079 0.236
O 0.265 0.314 0.667
O 0.230 0.590 0.053
O 0.533 0.421 0.265
O 0.058 0.767 0.604
O 0.032 0.268 0.106
O 0.697 0.408 0.948
O 0.394 0.579 0.735
O 0.235 0.090 0.554
V 0.157 0.284 0.882
V 0.452 0.250 0.252
V 0.804 0.062 0.373
V 0.753 0.213 0.621
V 0.117 0.436 0.127
V 0.474 0.750 0.751
V 0.120 0.936 0.626
V 0.768 0.713 0.119
V 0.175 0.785 0.380
V 0.812 0.562 0.873
Na 0.482 0.012 0.993
Na 0.478 0.514 0.491

=====

Material: NaV2O5
Method: DFT, PBE with a Hubbard U
State: relaxed

Properties
The volume is 14.8 A^3/atom. Its energy above the lowest structure with this stoichiometry is 42.8 meV/atom. The space group is Cmcm.

a = 5.926 Å, b = 5.926 Å, c = 11.464 Å
α = 90.00°, β = 90.00°, γ = 143.83°
Atoms (fractional coordinates):
O 0.063 0.937 0.883
O 0.063 0.937 0.617
O 0.759 0.241 0.571
O 0.729 0.271 0.250
O 0.759 0.241 0.929
O 0.241 0.759 0.429
O 0.271 0.729 0.750
O 0.241 0.759 0.071
O 0.937 0.063 0.383
O 0.937 0.063 0.117
V 0.793 0.207 0.400
V 0.793 0.207 0.100
V 0.207 0.793 0.600
V 0.207 0.793 0.900
Na 0.908 0.092 0.750
Na 0.092 0.908 0.250

=====

Number 1: ρ 2.50 Mg/m³, total moment 0.0 μB/f.u.. Number 2: ρ 3.17 Mg/m³, total moment 0.0 μB/f.u.. Number 3: ρ 2.69 Mg/m³, total moment 2.0 μB/f.u.. Number 4: ρ 3.67 Mg/m³, total moment 8.0 μB/f.u.. Number 5: ρ 3.44 Mg/m³, total moment 4.0 μB/f.u.. Number 6: ρ 2.57 Mg/m³, total moment 0.1 μB/f.u.. Number 7: ρ 2.75 Mg/m³, total moment 2.0 μB/f.u.. Number 8: ρ 4.35 Mg/m³, total moment 5.0 μB/f.u.. Number 9: ρ 2.90 Mg/m³, total moment 0.0 μB/f.u.. Number 10: ρ 2.37 Mg/m³, total moment 0.0 μB/f.u.. Number 11: ρ 4.00 Mg/m³, total moment 10.0 μB/f.u.. Number 12: ρ 2.86 Mg/m³, total moment 1.0 μB/f.u..